(1)
{"formula": "K5ZnP2", "functional": "PBE", "state": "relaxed", "magmom_total_mub_per_fu": 0.63, "e_form_mev_per_atom": -260, "cell": [[5.800, 0.000, 0.000], [-2.900, 5.023, 0.000], [0.000, 0.000, 19.363]], "species": ["K", "K", "K", "K", "K", "K", "K", "K", "K", "K", "Zn", "Zn", "P", "P", "P", "P"], "fractional_positions": [[0.000, 0.000, 0.364], [0.000, 0.000, 0.136], [0.667, 0.333, 0.250], [0.000, 0.000, 0.864], [0.667, 0.333, 0.044], [0.333, 0.667, 0.750], [0.333, 0.667, 0.956], [0.333, 0.667, 0.544], [0.667, 0.333, 0.456], [0.000, 0.000, 0.636], [0.333, 0.667, 0.250], [0.667, 0.333, 0.750], [0.667, 0.333, 0.634], [0.333, 0.667, 0.134], [0.333, 0.667, 0.366], [0.667, 0.333, 0.866]]}

---

(2)
{"formula": "K3ZnP2", "functional": "PBE", "state": "relaxed", "magmom_total_mub_per_fu": 0.82, "e_form_mev_per_atom": -241, "cell": [[-3.884, -1.980, 6.622], [-4.622, -2.956, -3.594], [7.805, -3.464, -1.204]], "species": ["K", "K", "K", "K", "K", "K", "Zn", "Zn", "P", "P", "P", "P"], "fractional_positions": [[0.369, 0.681, 0.361], [0.631, 0.319, 0.639], [0.008, 0.819, 0.639], [0.992, 0.181, 0.361], [0.500, 0.750, 0.000], [0.500, 0.250, 0.000], [0.000, 0.250, 0.000], [0.000, 0.750, 0.000], [0.269, 0.089, 0.177], [0.731, 0.911, 0.823], [0.092, 0.411, 0.823], [0.908, 0.589, 0.177]]}

---

(3)
{"formula": "K2ZnP2", "functional": "PBE", "state": "relaxed", "magmom_total_mub_per_fu": 0.00, "e_form_mev_per_atom": -94, "cell": [[-5.921, 3.033, 4.447], [-5.383, -3.331, -4.895], [-0.002, -3.776, 2.572]], "species": ["P", "P", "P", "P", "Zn", "Zn", "K", "K", "K", "K"], "fractional_positions": [[0.408, 0.908, 0.000], [0.908, 0.592, 0.000], [0.592, 0.092, 0.000], [0.092, 0.408, 0.000], [0.000, 0.000, 0.000], [0.500, 0.500, 0.000], [0.195, 0.695, 0.500], [0.695, 0.805, 0.500], [0.805, 0.305, 0.500], [0.305, 0.195, 0.500]]}

---

(4)
{"formula": "KZnP", "functional": "PBE", "state": "relaxed", "magmom_total_mub_per_fu": 0.00, "e_form_mev_per_atom": -267, "cell": [[0.567, -7.081, -0.486], [-6.752, -4.894, 1.596], [-5.271, -2.986, -5.101]], "species": ["P", "P", "P", "P", "Zn", "Zn", "Zn", "Zn", "K", "K", "K", "K"], "fractional_positions": [[0.010, 0.495, 0.087], [0.843, 0.162, 0.755], [0.495, 0.010, 0.407], [0.162, 0.842, 0.240], [0.234, 0.116, 0.190], [0.789, 0.060, 0.134], [0.116, 0.234, 0.461], [0.060, 0.789, 0.017], [0.920, 0.556, 0.666], [0.392, 0.584, 0.694], [0.555, 0.920, 0.858], [0.584, 0.392, 0.330]]}

---

(5)
{"formula": "KZn4P", "functional": "PBE", "state": "relaxed", "magmom_total_mub_per_fu": 0.00, "e_form_mev_per_atom": 272, "cell": [[3.687, -3.316, 2.361], [0.573, -0.023, 5.462], [-1.680, -4.338, 2.919]], "species": ["K", "Zn", "Zn", "Zn", "Zn", "P"], "fractional_positions": [[0.750, 0.750, 0.750], [0.880, 0.373, 0.373], [0.373, 0.373, 0.880], [0.373, 0.880, 0.373], [0.373, 0.373, 0.373], [0.000, 0.000, 0.000]]}

---

(6)
{"formula": "K4ZnP", "functional": "PBE", "state": "relaxed", "magmom_total_mub_per_fu": 0.00, "e_form_mev_per_atom": 448, "cell": [[-6.777, 0.829, 0.777], [-3.532, 3.818, -4.491], [-4.354, -3.004, -4.387]], "species": ["K", "K", "K", "K", "Zn", "P"], "fractional_positions": [[0.870, 0.377, 0.377], [0.377, 0.377, 0.870], [0.377, 0.870, 0.377], [0.377, 0.377, 0.377], [0.000, 0.000, 0.000], [0.750, 0.750, 0.750]]}

---

(7)
{"formula": "K2ZnP", "functional": "PBE", "state": "relaxed", "magmom_total_mub_per_fu": 0.00, "e_form_mev_per_atom": -206, "e_above_lowest_polymorph_mev_per_atom": 0, "cell": [[4.172, 0.000, 0.000], [0.000, 5.194, -0.006], [0.000, 2.602, 5.916]], "species": ["K", "K", "P", "Zn"], "fractional_positions": [[0.000, 0.972, 0.932], [0.500, 0.266, 0.343], [0.000, 0.677, 0.522], [0.500, 0.586, 0.704]]}

---

(8)
{"formula": "K2ZnP", "functional": "PBE", "state": "relaxed", "magmom_total_mub_per_fu": 0.26, "e_form_mev_per_atom": 235, "e_above_lowest_polymorph_mev_per_atom": 441, "cell": [[-1.615, -2.647, -1.559], [-0.095, -2.504, 4.350], [-5.999, 2.790, 1.475]], "species": ["K", "K", "P", "Zn"], "fractional_positions": [[0.000, 0.000, 0.951], [0.500, 0.500, 0.307], [0.000, 0.000, 0.487], [0.500, 0.500, 0.755]]}

---

(9)
{"formula": "KZnP", "functional": "PBE", "state": "relaxed", "magmom_total_mub_per_fu": 0.00, "e_form_mev_per_atom": 416, "cell": [[-1.339, 1.852, -4.508], [-1.981, -4.353, 1.633], [-4.727, 3.166, 2.705]], "species": ["K", "K", "Zn", "Zn", "P", "P"], "fractional_positions": [[0.333, 0.667, 0.250], [0.667, 0.333, 0.750], [0.333, 0.667, 0.750], [0.667, 0.333, 0.250], [0.000, 0.000, 0.000], [0.000, 0.000, 0.500]]}

---

(10)
{"formula": "K2Zn2P", "functional": "PBE", "state": "relaxed", "magmom_total_mub_per_fu": 0.00, "e_form_mev_per_atom": 29, "e_above_lowest_polymorph_mev_per_atom": 0, "cell": [[6.814, 0.000, 0.000], [0.000, 6.814, 0.000], [0.000, 0.000, 5.496]], "species": ["P", "P", "Zn", "Zn", "Zn", "Zn", "K", "K", "K", "K"], "fractional_positions": [[0.000, 0.000, 0.000], [0.500, 0.500, 0.000], [0.370, 0.870, 0.000], [0.870, 0.630, 0.000], [0.630, 0.130, 0.000], [0.130, 0.370, 0.000], [0.195, 0.695, 0.500], [0.695, 0.805, 0.500], [0.805, 0.305, 0.500], [0.305, 0.195, 0.500]]}

---

(11)
{"formula": "K2ZnP", "functional": "PBE", "state": "relaxed", "magmom_total_mub_per_fu": 0.00, "e_form_mev_per_atom": -189, "e_above_lowest_polymorph_mev_per_atom": 17, "cell": [[-3.057, 3.864, 3.964], [-4.315, 0.040, 4.622], [1.986, 0.229, 5.125]], "species": ["K", "K", "P", "Zn"], "fractional_positions": [[0.976, 0.976, 0.025], [0.788, 0.788, 0.712], [0.564, 0.564, 0.436], [0.172, 0.172, 0.328]]}

---

(12)
{"formula": "K2ZnP", "functional": "PBE", "state": "relaxed", "magmom_total_mub_per_fu": 0.00, "e_form_mev_per_atom": 380, "e_above_lowest_polymorph_mev_per_atom": 586, "cell": [[4.855, 0.000, 0.000], [0.000, 4.855, 0.000], [2.427, 2.427, 10.748]], "species": ["P", "P", "Zn", "Zn", "K", "K", "K", "K"], "fractional_positions": [[0.500, 0.500, 0.000], [0.250, 0.750, 0.500], [0.000, 0.000, 0.000], [0.750, 0.250, 0.500], [0.616, 0.125, 0.250], [0.134, 0.625, 0.250], [0.375, 0.384, 0.750], [0.875, 0.866, 0.750]]}